(1)
First-principles (GGA-PBE) data for an optimized crystal structure of TaCrMo2H, as listed in Alexandria via LeMat-Bulk.

Properties
Space group: P4/mmm (123)
Electronic total energy (eV per atom): -9.246
Total magnetic moment (Bohr magnetons per cell): 0.7

Lattice parameters (Å, degrees): 4.389 4.389 3.337 90.00 90.00 90.00
Last column: magnetic moment on the atom in μB.
Fractional positions:
Cr: 0.000 0.000 0.500  0.98
Mo: 0.500 0.000 0.000  -0.14
Mo: 0.000 0.500 0.000  -0.14
Ta: 0.500 0.500 0.500  0.01
H: 0.000 0.000 0.000  0.00

***

(2)
First-principles (GGA-PBE) data for an optimized crystal structure of Ti2CrMoH, as listed in Alexandria via LeMat-Bulk.

Properties
Space group: P4/mmm (123)
Electronic total energy (eV per atom): -7.997
Total magnetic moment (Bohr magnetons per cell): 0.0

Lattice parameters (Å, degrees): 4.334 4.334 3.292 90.00 90.00 90.00
Fractional positions:
Ti: 0.000 0.500 0.000
Ti: 0.500 0.000 0.000
H: 0.000 0.000 0.000
Mo: 0.500 0.500 0.500
Cr: 0.000 0.000 0.500

***

(3)
First-principles (GGA-PBE) data for an optimized crystal structure of Zr2CrMoH, as listed in Alexandria via LeMat-Bulk.

Properties
Space group: P4/mmm (123)
Electronic total energy (eV per atom): -8.185
Total magnetic moment (Bohr magnetons per cell): 0.3

Lattice parameters (Å, degrees): 4.646 4.646 3.412 90.00 90.00 90.00
Last column: magnetic moment on the atom in μB.
Fractional positions:
H: 0.000 0.000 0.000  0.00
Zr: 0.000 0.500 0.000  -0.02
Zr: 0.500 0.000 0.000  -0.02
Mo: 0.500 0.500 0.500  -0.03
Cr: 0.000 0.000 0.500  0.38

***

(4)
First-principles (GGA-PBE) data for an optimized crystal structure of CrH2N, as listed in Alexandria via LeMat-Bulk.

Properties
Space group: I4_1/amd (141)
Offset from the most stable computed form (eV per atom): 0.000
Electronic total energy (eV per atom): -5.910
Total magnetic moment (Bohr magnetons per cell): 2.3

Lattice parameters (Å, degrees): 2.707 2.707 7.794 80.00 80.00 90.00
Last column: magnetic moment on the atom in μB.
Fractional positions:
Cr: 0.000 0.000 0.000  1.26
Cr: 0.750 0.250 0.500  1.27
H: 0.375 0.125 0.750  -0.01
H: 0.875 0.625 0.250  0.00
H: 0.875 0.125 0.750  -0.01
H: 0.875 0.125 0.250  0.00
N: 0.250 0.750 0.500  -0.11
N: 0.500 0.500 0.000  -0.11

***

(5)
First-principles (GGA-PBE) data for an optimized crystal structure of Cr12H3N5, as listed in Alexandria via LeMat-Bulk.

Properties
Space group: Ia-3d (230)
Electronic total energy (eV per atom): -8.259
Total magnetic moment (Bohr magnetons per cell): 0.0

Lattice parameters (Å, degrees): 10.040 10.040 10.040 109.47 109.47 109.47
Fractional positions:
Cr: 0.042 0.436 0.814
Cr: 0.894 0.271 0.458
Cr: 0.877 0.064 0.606
Cr: 0.271 0.894 0.958
Cr: 0.814 0.936 0.042
Cr: 0.542 0.314 0.936
Cr: 0.958 0.394 0.271
Cr: 0.729 0.106 0.042
Cr: 0.042 0.606 0.729
Cr: 0.106 0.729 0.542
Cr: 0.936 0.123 0.894
Cr: 0.894 0.623 0.936
Cr: 0.186 0.064 0.958
Cr: 0.123 0.936 0.394
Cr: 0.458 0.771 0.894
Cr: 0.877 0.814 0.771
Cr: 0.271 0.377 0.814
Cr: 0.229 0.542 0.606
Cr: 0.106 0.377 0.064
Cr: 0.314 0.542 0.436
Cr: 0.314 0.771 0.377
Cr: 0.564 0.958 0.686
Cr: 0.686 0.229 0.623
Cr: 0.542 0.229 0.106
Cr: 0.377 0.106 0.564
Cr: 0.771 0.458 0.394
Cr: 0.686 0.458 0.564
Cr: 0.771 0.314 0.877
Cr: 0.229 0.686 0.123
Cr: 0.606 0.042 0.229
Cr: 0.606 0.564 0.877
Cr: 0.064 0.186 0.458
Cr: 0.064 0.877 0.106
Cr: 0.814 0.877 0.271
Cr: 0.623 0.729 0.686
Cr: 0.394 0.958 0.771
Cr: 0.377 0.271 0.314
Cr: 0.458 0.686 0.064
Cr: 0.436 0.394 0.623
Cr: 0.623 0.894 0.436
Cr: 0.436 0.042 0.314
Cr: 0.123 0.186 0.229
Cr: 0.564 0.606 0.377
Cr: 0.958 0.564 0.186
Cr: 0.394 0.436 0.123
Cr: 0.729 0.623 0.186
Cr: 0.936 0.814 0.542
Cr: 0.186 0.123 0.729
N: 0.000 0.500 0.000
N: 0.750 0.625 0.375
N: 0.250 0.375 0.625
N: 0.125 0.375 0.250
N: 0.500 0.500 0.500
N: 0.500 0.000 0.500
N: 0.000 0.000 0.000
N: 0.875 0.625 0.750
N: 0.125 0.750 0.375
N: 0.000 0.500 0.500
N: 0.375 0.125 0.750
N: 0.625 0.750 0.875
N: 0.500 0.000 0.000
N: 0.750 0.125 0.875
N: 0.250 0.875 0.125
N: 0.625 0.875 0.250
N: 0.000 0.000 0.500
N: 0.875 0.250 0.625
N: 0.375 0.250 0.125
N: 0.500 0.500 0.000
H: 0.875 0.750 0.125
H: 0.750 0.375 0.125
H: 0.625 0.375 0.750
H: 0.375 0.750 0.625
H: 0.250 0.625 0.875
H: 0.250 0.125 0.375
H: 0.125 0.875 0.750
H: 0.125 0.250 0.875
H: 0.375 0.625 0.250
H: 0.875 0.125 0.250
H: 0.750 0.875 0.625
H: 0.625 0.250 0.375

***

(6)
First-principles (GGA-PBE) data for an optimized crystal structure of CrHN2, as listed in Alexandria via LeMat-Bulk.

Properties
Space group: R-3m (166)
Offset from the most stable computed form (eV per atom): 0.000
Electronic total energy (eV per atom): -7.415
Total magnetic moment (Bohr magnetons per cell): 0.0

Lattice parameters (Å, degrees): 5.027 5.027 5.027 31.68 31.68 31.68
Fractional positions:
Cr: 0.500 0.500 0.500
N: 0.088 0.088 0.088
N: 0.912 0.912 0.912
H: 0.000 0.000 0.000

***

(7)
First-principles (GGA-PBE) data for an optimized crystal structure of CrHN2, as listed in Alexandria via LeMat-Bulk.

Properties
Space group: Fm-3m (225)
Offset from the most stable computed form (eV per atom): 1.100
Electronic total energy (eV per atom): -6.315
Total magnetic moment (Bohr magnetons per cell): 1.5

Lattice parameters (Å, degrees): 3.407 3.407 3.407 60.00 60.00 60.00
Last column: magnetic moment on the atom in μB.
Fractional positions:
N: 0.250 0.250 0.250  0.20
N: 0.750 0.750 0.750  0.20
Cr: 0.500 0.500 0.500  -1.82
H: 0.000 0.000 0.000  -0.03

***

(8)
First-principles (GGA-PBE) data for an optimized crystal structure of Cr8HN2, as listed in Alexandria via LeMat-Bulk.

Properties
Space group: P-3m1 (164)
Electronic total energy (eV per atom): -8.861
Total magnetic moment (Bohr magnetons per cell): 0.0

Lattice parameters (Å, degrees): 5.833 5.833 3.874 90.00 90.00 120.00
Fractional positions:
Cr: 0.148 0.852 0.262
Cr: 0.296 0.148 0.738
Cr: 0.704 0.852 0.262
Cr: 0.852 0.148 0.738
Cr: 0.148 0.296 0.262
Cr: 0.852 0.704 0.738
Cr: 0.333 0.667 0.759
Cr: 0.667 0.333 0.241
H: 0.000 0.000 0.000
N: 0.667 0.333 0.742
N: 0.333 0.667 0.258

***

(9)
First-principles (GGA-PBE) data for an optimized crystal structure of CrHN, as listed in Alexandria via LeMat-Bulk.

Properties
Space group: I4mm (107)
Offset from the most stable computed form (eV per atom): 0.508
Electronic total energy (eV per atom): -6.781
Total magnetic moment (Bohr magnetons per cell): 1.7

Lattice parameters (Å, degrees): 2.692 2.692 3.477 112.78 112.78 90.00
Last column: magnetic moment on the atom in μB.
Fractional positions:
N: 0.934 0.934 0.869  -0.14
H: 0.599 0.599 0.198  -0.02
Cr: 0.317 0.317 0.633  1.74

***

(10)
First-principles (GGA-PBE) data for an optimized crystal structure of CrH2N, as listed in Alexandria via LeMat-Bulk.

Properties
Space group: Fm-3m (225)
Offset from the most stable computed form (eV per atom): 0.622
Electronic total energy (eV per atom): -5.288
Total magnetic moment (Bohr magnetons per cell): 2.9

Lattice parameters (Å, degrees): 3.255 3.255 3.255 60.00 60.00 60.00
Last column: magnetic moment on the atom in μB.
Fractional positions:
H: 0.250 0.250 0.250  -0.03
H: 0.750 0.750 0.750  -0.03
Cr: 0.500 0.500 0.500  2.87
N: 0.000 0.000 0.000  0.00

***

(11)
First-principles (GGA-PBE) data for an optimized crystal structure of CrHN2, as listed in Alexandria via LeMat-Bulk.

Properties
Space group: I-42d (122)
Offset from the most stable computed form (eV per atom): 0.439
Electronic total energy (eV per atom): -6.976
Total magnetic moment (Bohr magnetons per cell): 1.9

Lattice parameters (Å, degrees): 4.110 4.110 5.032 65.90 65.90 90.00
Last column: magnetic moment on the atom in μB.
Fractional positions:
N: 0.875 0.871 0.750  -0.10
N: 0.375 0.379 0.750  -0.10
N: 0.621 0.125 0.250  -0.10
N: 0.129 0.625 0.250  -0.10
H: 0.500 0.500 0.000  0.02
H: 0.250 0.750 0.500  0.02
Cr: 0.750 0.250 0.500  1.06
Cr: 0.000 0.000 0.000  1.07

***

(12)
First-principles (GGA-PBE) data for an optimized crystal structure of CrHN3, as listed in Alexandria via LeMat-Bulk.

Properties
Space group: Pm-3m (221)
Electronic total energy (eV per atom): -6.191
Total magnetic moment (Bohr magnetons per cell): 1.9

Lattice parameters (Å, degrees): 3.710 3.710 3.710 90.00 90.00 90.00
Last column: magnetic moment on the atom in μB.
Fractional positions:
N: 0.000 0.500 0.000  0.94
N: 0.000 0.000 0.500  1.09
N: 0.500 0.000 0.000  0.75
H: 0.500 0.500 0.500  -0.31
Cr: 0.000 0.000 0.000  -1.14